Density functional theory data (PBE) for crystalline SmHo2Th at its relaxed geometry.

The space group is C2/m (No. 12) and the conventional cell measures 22.893, 3.515 and 6.407 Å, with angles of 90.00, 94.63 and 90.00 degrees. The inequivalent atoms are Sm at (0.004, 0.000, 0.243), Ho at (0.122, 0.500, 0.031), Ho at (0.132, 0.000, 0.544) and Th at (0.248, 0.000, 0.245).

For the total moment, the calculation gives 0.000 μB per atom. The formation energy comes out at 2.03 kcal/mol of atoms. The value obtained for the excess energy over the best structure of this formula in the dataset is 77 meV/atom. Its crystal system is monoclinic.

---

Density functional theory data (PBE) for crystalline SmHo9Th2 at its relaxed geometry.

The space group is P6/mmm (No. 191) and the conventional cell measures 11.3063, 11.3063 and 3.4892 Å, with angles of 90.00, 90.00 and 120.00 degrees. The inequivalent atoms are Sm at (0.0000, 0.0000, 0.0000), Ho at (0.0000, 0.5000, 0.0000), Ho at (0.1749, 0.3498, 0.5000) and Th at (0.3333, 0.6667, 0.0000).

For the total moment, the calculation gives 0.000 μB per atom. The formation energy comes out at 2.41 kcal/mol of atoms. The value obtained for the excess energy over the best structure of this formula in the dataset is 73 meV/atom. Its crystal system is hexagonal.

---

Density functional theory data (PBE) for crystalline SmHoTh14 at its relaxed geometry.

The space group is Amm2 (No. 38) and the conventional cell measures 11.595, 7.174 and 12.439 Å, with angles of 90.00, 90.00 and 90.00 degrees. The inequivalent atoms are Sm at (0.000, 0.000, 0.000), Ho at (0.000, 0.000, 0.499), Th at (0.000, 0.249, 0.246), Th at (0.250, 0.000, 0.665), Th at (0.251, 0.250, 0.415), Th at (0.252, 0.000, 0.165), Th at (0.500, 0.000, 0.332), Th at (0.500, 0.000, 0.832) and Th at (0.500, 0.250, 0.082).

For the total moment, the calculation gives 0.000 μB per atom. The formation energy comes out at 0.81 kcal/mol of atoms. Its crystal system is orthorhombic.

---

Density functional theory data (PBE) for crystalline Sm2Ho5Th5 at its relaxed geometry.

The space group is C2/m (No. 12) and the conventional cell measures 15.133, 5.035 and 11.296 Å, with angles of 90.00, 116.62 and 90.00 degrees. The inequivalent atoms are Sm at (0.083, 0.000, 0.250), Ho at (0.000, 0.500, 0.000), Ho at (0.085, 0.500, 0.748), Ho at (0.168, 0.500, 0.504), Th at (0.000, 0.000, 0.500), Th at (0.170, 0.000, 0.002) and Th at (0.249, 0.000, 0.752).

For the total moment, the calculation gives 0.000 μB per atom. The formation energy comes out at 1.07 kcal/mol of atoms. Its crystal system is monoclinic.

---

Density functional theory data (PBE) for crystalline Sm2Ho3Th3 at its relaxed geometry.

The space group is P-62m (No. 189) and the conventional cell measures 9.0880, 9.0880 and 3.6331 Å, with angles of 90.00, 90.00 and 120.00 degrees. The inequivalent atoms are Sm at (0.3333, 0.6667, 0.0000), Ho at (0.0000, 0.3951, 0.5000) and Th at (0.0000, 0.7737, 0.0000).

For the total moment, the calculation gives 0.000 μB per atom. The formation energy comes out at 3.63 kcal/mol of atoms. Its crystal system is hexagonal.

---

Density functional theory data (PBE) for crystalline Sm5Ho4Th2 at its relaxed geometry.

The space group is Immm (No. 71) and the conventional cell measures 3.424, 9.257 and 24.687 Å, with angles of 90.00, 90.00 and 90.00 degrees. The inequivalent atoms are Sm at (0.000, 0.000, 0.000), Sm at (0.000, 0.179, 0.343), Ho at (0.000, 0.182, 0.500), Ho at (0.000, 0.500, 0.261) and Th at (0.000, 0.500, 0.392).

For the total moment, the calculation gives 0.000 μB per atom. The formation energy comes out at 11.44 kcal/mol of atoms. The value obtained for the excess energy over the best structure of this formula in the dataset is 367 meV/atom. Its crystal system is orthorhombic.

---

- Look up the total moment of the third one.
  0.000 μB per atom